(1)
Computed, not measured: a relaxed SrTl2Se crystal at the PBE-GGA level of DFT.

```
data_SrTl2Se
_symmetry_space_group_name_H-M 'F -4 3 m'
_symmetry_Int_Tables_number 216
_symmetry_space_group_name_Hall 'F -4 2 3'
_cell_length_a 7.812
_cell_length_b 7.812
_cell_length_c 7.812
_cell_angle_alpha 90.00
_cell_angle_beta 90.00
_cell_angle_gamma 90.00
loop_
_atom_site_label
_atom_site_fract_x
_atom_site_fract_y
_atom_site_fract_z
_atom_site_occupancy
Sr1 0.000 0.000 0.000 1
Tl1 0.000 0.000 0.500 1
Tl2 0.250 0.250 0.750 1
Se1 0.250 0.250 0.250 1
```

## Properties
Fermi-level density of states = 3.85 states/eV/f.u.
E_form (uncorrected) = -0.504 eV/atom

(2)
Computed, not measured: a relaxed Sr3Tl5Se12 crystal at the PBE-GGA level of DFT.

```
data_Sr3Tl5Se12
_symmetry_space_group_name_H-M 'I a -3 d'
_symmetry_Int_Tables_number 230
_symmetry_space_group_name_Hall '-I 4bd 2c 3'
_cell_length_a 17.186
_cell_length_b 17.186
_cell_length_c 17.186
_cell_angle_alpha 90.00
_cell_angle_beta 90.00
_cell_angle_gamma 90.00
loop_
_atom_site_label
_atom_site_fract_x
_atom_site_fract_y
_atom_site_fract_z
_atom_site_occupancy
Sr1 0.000 0.250 0.125 1
Tl1 0.000 0.000 0.000 1
Tl2 0.000 0.250 0.375 1
Se1 0.021 0.065 0.652 1
```

## Properties
Fermi-level density of states = 16.97 states/eV/f.u.
E_form (uncorrected) = -0.577 eV/atom

(3)
Computed, not measured: a relaxed Sr2TlSe crystal at the PBE-GGA level of DFT.

```
data_Sr2TlSe
_symmetry_space_group_name_H-M 'I -4 m 2'
_symmetry_Int_Tables_number 119
_symmetry_space_group_name_Hall 'I -4 -2'
_cell_length_a 4.614
_cell_length_b 4.614
_cell_length_c 12.839
_cell_angle_alpha 90.00
_cell_angle_beta 90.00
_cell_angle_gamma 90.00
loop_
_atom_site_label
_atom_site_fract_x
_atom_site_fract_y
_atom_site_fract_z
_atom_site_occupancy
Sr1 0.000 0.000 0.000 1
Sr2 0.000 0.500 0.250 1
Tl1 0.000 0.500 0.750 1
Se1 0.000 0.000 0.500 1
```

## Properties
Fermi-level density of states = 2.70 states/eV/f.u.
Polymorph energy (0 for the lowest one) = 291.2 meV/atom
E_form (uncorrected) = -0.807 eV/atom

(4)
Computed, not measured: a relaxed SrTlSe2 crystal at the PBE-GGA level of DFT.

```
data_SrTlSe2
_symmetry_space_group_name_H-M 'F m -3 m'
_symmetry_Int_Tables_number 225
_symmetry_space_group_name_Hall '-F 4 2 3'
_cell_length_a 7.636
_cell_length_b 7.636
_cell_length_c 7.636
_cell_angle_alpha 90.00
_cell_angle_beta 90.00
_cell_angle_gamma 90.00
loop_
_atom_site_label
_atom_site_fract_x
_atom_site_fract_y
_atom_site_fract_z
_atom_site_occupancy
Sr1 0.000 0.000 0.000 1
Tl1 0.000 0.000 0.500 1
Se1 0.250 0.250 0.250 1
```

## Properties
Fermi-level density of states = 4.29 states/eV/f.u.
E_form (uncorrected) = -0.922 eV/atom

(5)
Computed, not measured: a relaxed SrTl2Se crystal at the PBE-GGA level of DFT.

```
data_SrTl2Se
_symmetry_space_group_name_H-M 'C 1 2/m 1'
_symmetry_Int_Tables_number 12
_symmetry_space_group_name_Hall '-C 2y'
_cell_length_a 13.635
_cell_length_b 4.301
_cell_length_c 4.564
_cell_angle_alpha 90.00
_cell_angle_beta 109.48
_cell_angle_gamma 90.00
loop_
_atom_site_label
_atom_site_fract_x
_atom_site_fract_y
_atom_site_fract_z
_atom_site_occupancy
Sr1 0.000 0.000 0.000 1
Tl1 0.229 0.000 0.729 1
Se1 0.000 0.500 0.500 1
```

## Properties
Fermi-level density of states = 1.65 states/eV/f.u.
E_form (uncorrected) = -0.730 eV/atom

(6)
Computed, not measured: a relaxed SrTl2Se2 crystal at the PBE-GGA level of DFT.

```
data_SrTl2Se2
_symmetry_space_group_name_H-M 'I 4/m m m'
_symmetry_Int_Tables_number 139
_symmetry_space_group_name_Hall '-I 4 2'
_cell_length_a 4.341
_cell_length_b 4.341
_cell_length_c 16.333
_cell_angle_alpha 90.00
_cell_angle_beta 90.00
_cell_angle_gamma 90.00
loop_
_atom_site_label
_atom_site_fract_x
_atom_site_fract_y
_atom_site_fract_z
_atom_site_occupancy
Sr1 0.000 0.000 0.000 1
Tl1 0.000 0.500 0.250 1
Se1 0.000 0.000 0.409 1
```

## Properties
Fermi-level density of states = 1.65 states/eV/f.u.
Polymorph energy (0 for the lowest one) = 317.9 meV/atom
E_form (uncorrected) = -0.738 eV/atom